[1]
DFT (PBE) results for a relaxed structure of ScAlOs.

Computed properties:
- V: 51.88 Å³/f.u.
- E_form: -0.310 eV/f.u.
- Raw total energy: -21.6 eV for the cell shown
- N(E_F): 2.50 states/eV per cell

Cell lengths 3.0398, 3.0398, 6.4823 Å; angles 90.00, 90.00, 120.00 degrees
Space group P3m1 (No. 156)
Asymmetric unit:
1 Sc 0.0000 0.0000 0.0000
2 Al 0.6667 0.3333 0.3840
3 Os 0.3333 0.6667 0.6789

=====

[2]
DFT (PBE) results for a relaxed structure of Al6GaW.

Computed properties:
- V: 144.21 Å³/f.u.
- E_form: 1.464 eV/f.u.
- Raw total energy: -73.9 eV for the cell shown
- N(E_F): 9.05 states/eV per cell

Cell lengths 7.5757, 5.2964, 7.5098 Å; angles 90.00, 106.83, 90.00 degrees
Space group C2/m (No. 12)
Asymmetric unit:
1 Al 0.1455 0.0000 0.4514
2 Al 0.1967 0.2471 0.7973
3 Ga 0.0000 0.0000 0.0000
4 W 0.0000 0.5000 0.5000

=====

[3]
DFT (PBE) results for a relaxed structure of Li2InAg7Sb2.

Computed properties:
- Raw formation energy: -0.09 eV per atom
- V: 235.18 Å³/f.u.
- Raw total energy: -71.6 eV for the cell shown
- N(E_F): 10.92 states/eV per cell

Cell lengths 5.9202, 6.0026, 13.2360 Å; angles 90.00, 90.00, 90.00 degrees
Space group Cmmm (No. 65)
Asymmetric unit:
1 Li 0.0000 0.0000 0.1859
2 In 0.0000 0.5000 0.5000
3 Ag 0.0000 0.0000 0.5000
4 Ag 0.2437 0.0000 0.0000
5 Ag 0.2500 0.2500 0.3385
6 Sb 0.0000 0.5000 0.1848

=====

[4]
DFT (PBE) results for a relaxed structure of Co2ReTc.

Computed properties:
- Excess energy over the best structure of this formula in the dataset: 209.5 meV per atom
- V: 51.67 Å³/f.u.
- E_form: 0.595 eV/f.u.
- Raw total energy: -36.4 eV for the cell shown
- N(E_F): 4.87 states/eV per cell

Cell lengths 4.5255, 2.6471, 4.5861 Å; angles 90.00, 109.86, 90.00 degrees
Space group P2/m (No. 10)
Asymmetric unit:
1 Co 0.0000 0.0000 0.0000
2 Co 0.0000 0.5000 0.5000
3 Re 0.5000 0.0000 0.5000
4 Tc 0.5000 0.5000 0.0000

=====

[5]
DFT (PBE) results for a relaxed structure of SrCo2Cu.

Computed properties:
- Excess energy over the best structure of this formula in the dataset: 440.2 meV per atom
- V: 76.09 Å³/f.u.
- E_form: 2.177 eV/f.u.
- Raw total energy: -35.6 eV for the cell shown
- N(E_F): 10.21 states/eV per cell

Cell lengths 3.9836, 5.3036, 7.2028 Å; angles 90.00, 90.00, 90.00 degrees
Space group Imm2 (No. 44)
Asymmetric unit:
1 Sr 0.0000 0.0000 0.0000
2 Co 0.0000 0.0000 0.5263
3 Co 0.0000 0.5000 0.1771
4 Cu 0.0000 0.5000 0.8178

=====

[6]
DFT (PBE) results for a relaxed structure of ZnGaPd4.

Computed properties:
- Excess energy over the best structure of this formula in the dataset: 79.7 meV per atom
- V: 90.86 Å³/f.u.
- E_form: -2.546 eV/f.u.
- Raw total energy: -55.2 eV for the cell shown
- N(E_F): 6.12 states/eV per cell

Cell lengths 5.0746, 7.7158, 4.9759 Å; angles 90.00, 111.13, 90.00 degrees
Space group P2_1/c (No. 14)
Asymmetric unit:
1 Zn 0.0000 0.0000 0.0000
2 Ga 0.5000 0.0000 0.5000
3 Pd 0.1005 0.1625 0.5870
4 Pd 0.4028 0.6644 0.4040

=====

[7]
DFT (PBE) results for a relaxed structure of Ba3AgO.

Computed properties:
- Excess energy over the best structure of this formula in the dataset: 14.1 meV per atom
- Raw formation energy: -1.01 eV per atom
- V: 170.24 Å³/f.u.
- Raw total energy: -18.6 eV for the cell shown
- N(E_F): 4.75 states/eV per cell

Cell lengths 5.5423, 5.5423, 5.5423 Å; angles 90.00, 90.00, 90.00 degrees
Space group Pm-3m (No. 221)
Asymmetric unit:
1 Ba 0.0000 0.0000 0.5000
2 Ag 0.5000 0.5000 0.5000
3 O 0.0000 0.0000 0.0000

=====

[8]
DFT (PBE) results for a relaxed structure of RbNaRuBr6.

Computed properties:
- Raw formation energy: -0.84 eV per atom
- V: 338.14 Å³/f.u.
- Raw total energy: -58.4 eV for the cell shown
- N(E_F): 15.48 states/eV per cell

Cell lengths 7.2849, 12.6382, 7.3454 Å; angles 90.00, 90.05, 90.00 degrees
Space group C2 (No. 5)
Asymmetric unit:
1 Rb 0.0000 0.0000 0.0000
2 Na 0.0000 0.3337 0.5000
3 Ru 0.0000 0.6666 0.5000
4 Br 0.1302 0.5236 0.3006
5 Br 0.1492 0.8034 0.3007
6 Br 0.2193 0.1730 0.3013

=====

[9]
DFT (PBE) results for a relaxed structure of Ag4HS2.

Computed properties:
- V: 121.33 Å³/f.u.
- Raw total energy: -66.7 eV for the cell shown
- N(E_F): 4.50 states/eV per cell

Cell lengths 4.7159, 4.7159, 18.8992 Å; angles 90.00, 90.00, 120.00 degrees
Space group R-3m (No. 166, hexagonal axes)
Asymmetric unit:
1 Ag 0.0000 0.0000 0.1184
2 Ag 0.0000 0.0000 0.2692
3 H 0.0000 0.0000 0.5000
4 S 0.0000 0.0000 0.4140

=====

[10]
DFT (PBE) results for a relaxed structure of ZnInSn2.

Computed properties:
- Excess energy over the best structure of this formula in the dataset: 84.2 meV per atom
- V: 117.95 Å³/f.u.
- E_form: 0.677 eV/f.u.
- Raw total energy: -45.4 eV for the cell shown
- N(E_F): 7.58 states/eV per cell

Cell lengths 5.3368, 5.3368, 16.5649 Å; angles 90.00, 90.00, 90.00 degrees
Space group I-42d (No. 122)
Asymmetric unit:
1 Zn 0.0000 0.0000 0.0000
2 In 0.0000 0.0000 0.5000
3 Sn 0.1987 0.2500 0.1250

=====

[11]
DFT (PBE) results for a relaxed structure of NaCeDy4S8.

Computed properties:
- Raw formation energy: -1.93 eV per atom
- V: 383.31 Å³/f.u.
- Raw total energy: -257.0 eV for the cell shown
- N(E_F): 12.41 states/eV per cell

Cell lengths 8.0986, 8.0986, 20.2448 Å; angles 90.00, 90.00, 120.00 degrees
Space group R3m (No. 160, hexagonal axes)
Asymmetric unit:
1 Na 0.0000 0.0000 0.0000
2 Ce 0.0000 0.0000 0.3701
3 Dy 0.0000 0.0000 0.7472
4 Dy 0.0116 0.5058 0.8747
5 S 0.0000 0.0000 0.1351
6 S 0.0000 0.0000 0.6154
7 S 0.0156 0.5078 0.1286
8 S 0.1800 0.3601 0.9504

=====

[12]
DFT (PBE) results for a relaxed structure of La3MgO.

Computed properties:
- Excess energy over the best structure of this formula in the dataset: 635.9 meV per atom
- Raw formation energy: -0.57 eV per atom
- V: 219.70 Å³/f.u.
- Raw total energy: -96.8 eV for the cell shown
- N(E_F): 28.00 states/eV per cell

Cell lengths 7.7377, 17.9423, 6.3299 Å; angles 90.00, 90.00, 90.00 degrees
Space group Cmcm (No. 63)
Asymmetric unit:
1 La 0.0000 0.0000 0.0000
2 La 0.2467 0.3295 0.2500
3 Mg 0.0000 0.1670 0.2500
4 O 0.0000 0.3781 0.2500

=====

[13]
DFT (PBE) results for a relaxed structure of SeBr2.

Computed properties:
- Excess energy over the best structure of this formula in the dataset: 548.3 meV per atom
- Raw formation energy: 0.54 eV per atom
- V: 81.34 Å³/f.u.
- Raw total energy: -10.4 eV for the cell shown
- N(E_F): 6.45 states/eV per cell

Cell lengths 4.7438, 4.7438, 8.3473 Å; angles 90.00, 90.00, 120.00 degrees
Space group P6_3/mmc (No. 194)
Asymmetric unit:
1 Se 0.3333 0.6667 0.2500
2 Br 0.0000 0.0000 0.0000
3 Br 0.3333 0.6667 0.7500

=====

[14]
DFT (PBE) results for a relaxed structure of DyGa7Cu5.

Computed properties:
- V: 198.81 Å³/f.u.
- E_form: -3.385 eV/f.u.
- Raw total energy: -99.3 eV for the cell shown
- N(E_F): 6.21 states/eV per cell

Cell lengths 10.0335, 8.8690, 5.2151 Å; angles 90.00, 121.04, 90.00 degrees
Space group Cm (No. 8)
Asymmetric unit:
1 Dy 0.0000 0.0000 0.0000
2 Ga 0.0070 0.3439 0.0079
3 Ga 0.1531 0.5000 0.6535
4 Ga 0.2288 0.0000 0.7318
5 Ga 0.3517 0.0000 0.3529
6 Ga 0.4903 0.3044 0.4901
7 Cu 0.2465 0.2481 0.4989
8 Cu 0.2469 0.2481 0.9947
9 Cu 0.2671 0.5000 0.2657

=====

[15]
DFT (PBE) results for a relaxed structure of LiRuSe.

Computed properties:
- Excess energy over the best structure of this formula in the dataset: 629.1 meV per atom
- Raw formation energy: 0.21 eV per atom
- V: 49.18 Å³/f.u.
- Raw total energy: -56.2 eV for the cell shown
- N(E_F): 13.19 states/eV per cell

Cell lengths 3.0750, 5.0717, 12.6145 Å; angles 90.00, 90.00, 90.00 degrees
Space group Fmm2 (No. 42)
Asymmetric unit:
1 Li 0.0000 0.0000 0.0000
2 Ru 0.0000 0.0000 0.6731
3 Se 0.0000 0.0000 0.3209

=====

[16]
DFT (PBE) results for a relaxed structure of BaInSb2.

Computed properties:
- Raw formation energy: -0.44 eV per atom
- V: 144.11 Å³/f.u.
- Raw total energy: -58.6 eV for the cell shown
- N(E_F): 12.33 states/eV per cell

Cell lengths 8.5403, 8.5403, 7.9034 Å; angles 90.00, 90.00, 90.00 degrees
Space group I-42d (No. 122)
Asymmetric unit:
1 Ba 0.0000 0.0000 0.0000
2 In 0.0000 0.0000 0.5000
3 Sb 0.1909 0.2500 0.6250

=====

[17]
DFT (PBE) results for a relaxed structure of CaTl2Si.

Computed properties:
- Excess energy over the best structure of this formula in the dataset: 204.9 meV per atom
- Raw formation energy: 0.15 eV per atom
- V: 109.66 Å³/f.u.
- Raw total energy: -34.7 eV for the cell shown
- N(E_F): 6.52 states/eV per cell

Cell lengths 3.7570, 3.7570, 26.9138 Å; angles 90.00, 90.00, 120.00 degrees
Space group R-3m (No. 166, hexagonal axes)
Asymmetric unit:
1 Ca 0.0000 0.0000 0.0000
2 Tl 0.0000 0.0000 0.2399
3 Si 0.0000 0.0000 0.5000

=====

[18]
DFT (PBE) results for a relaxed structure of ZrSe2BrCl.

Computed properties:
- Excess energy over the best structure of this formula in the dataset: 1051.8 meV per atom
- Raw formation energy: 0.59 eV per atom
- V: 125.64 Å³/f.u.
- Raw total energy: -16.1 eV for the cell shown
- N(E_F): 4.46 states/eV per cell

Cell lengths 5.0965, 5.0965, 4.8372 Å; angles 90.00, 90.00, 90.00 degrees
Space group P4/mmm (No. 123)
Asymmetric unit:
1 Zr 0.0000 0.0000 0.0000
2 Se 0.0000 0.5000 0.5000
3 Br 0.5000 0.5000 0.0000
4 Cl 0.5000 0.5000 0.5000

=====

[19]
DFT (PBE) results for a relaxed structure of LaEr12Tl3.

Computed properties:
- V: 463.26 Å³/f.u.
- E_form: -1.670 eV/f.u.
- Raw total energy: -68.5 eV for the cell shown
- N(E_F): 21.17 states/eV per cell

Cell lengths 4.8297, 4.8297, 19.8604 Å; angles 90.00, 90.00, 90.00 degrees
Space group P4/mmm (No. 123)
Asymmetric unit:
1 La 0.0000 0.0000 0.0000
2 Er 0.0000 0.5000 0.1338
3 Er 0.0000 0.5000 0.3785
4 Er 0.5000 0.5000 0.0000
5 Er 0.5000 0.5000 0.2578
6 Er 0.5000 0.5000 0.5000
7 Tl 0.0000 0.0000 0.2583
8 Tl 0.0000 0.0000 0.5000

=====

[20]
DFT (PBE) results for a relaxed structure of Mg14WC.

Computed properties:
- Excess energy over the best structure of this formula in the dataset: 200.9 meV per atom
- V: 319.44 Å³/f.u.
- E_form: 6.195 eV/f.u.
- Raw total energy: -38.3 eV for the cell shown
- N(E_F): 8.94 states/eV per cell

Cell lengths 6.2057, 6.2057, 9.5780 Å; angles 90.00, 90.00, 120.00 degrees
Space group P-6m2 (No. 187)
Asymmetric unit:
1 Mg 0.0000 0.0000 0.2473
2 Mg 0.0244 0.5122 0.2609
3 Mg 0.3285 0.1643 0.5000
4 Mg 0.3396 0.1698 0.0000
5 W 0.3333 0.6667 0.0000
6 C 0.3333 0.6667 0.5000

=====

[21]
DFT (PBE) results for a relaxed structure of InGaTeI2.

Computed properties:
- Excess energy over the best structure of this formula in the dataset: 114.4 meV per atom
- Raw formation energy: 0.00 eV per atom
- V: 229.06 Å³/f.u.
- Raw total energy: -12.0 eV for the cell shown
- N(E_F): 4.77 states/eV per cell

Cell lengths 6.1452, 6.1452, 6.0657 Å; angles 90.00, 90.00, 90.00 degrees
Space group P4/mmm (No. 123)
Asymmetric unit:
1 In 0.0000 0.0000 0.0000
2 Ga 0.5000 0.5000 0.5000
3 Te 0.0000 0.0000 0.5000
4 I 0.0000 0.5000 0.0000

=====

[22]
DFT (PBE) results for a relaxed structure of PmHfMg.

Computed properties:
- Excess energy over the best structure of this formula in the dataset: 71.2 meV per atom
- V: 78.67 Å³/f.u.
- E_form: 0.483 eV/f.u.
- Raw total energy: -31.6 eV for the cell shown
- N(E_F): 5.29 states/eV per cell

Cell lengths 3.2930, 3.2930, 16.7540 Å; angles 90.00, 90.00, 120.00 degrees
Space group P-6m2 (No. 187)
Asymmetric unit:
1 Pm 0.0000 0.0000 0.1821
2 Hf 0.3333 0.6667 0.3422
3 Mg 0.0000 0.0000 0.5000
4 Mg 0.3333 0.6667 0.0000

=====

[23]
DFT (PBE) results for a relaxed structure of TbDy2Tm5Sc.

Computed properties:
- V: 275.92 Å³/f.u.
- E_form: 1.522 eV/f.u.
- Raw total energy: -164.0 eV for the cell shown
- N(E_F): 55.87 states/eV per cell

Cell lengths 5.4824, 19.5969, 10.2727 Å; angles 90.00, 90.00, 90.00 degrees
Space group Cmc2_1 (No. 36)
Asymmetric unit:
1 Tb 0.0000 0.0888 0.0000
2 Dy 0.0000 0.3861 0.2800
3 Dy 0.0000 0.3887 0.8592
4 Tm 0.0000 0.0190 0.2835
5 Tm 0.0000 0.1212 0.5655
6 Tm 0.0000 0.2003 0.2502
7 Tm 0.0000 0.2234 0.8644
8 Tm 0.0000 0.4819 0.5643
9 Sc 0.0000 0.3034 0.5588